{"formula": "Hf2InMoBr", "functional": "PBEsol", "state": "optimized geometry", "total_energy_ev_per_atom": -6.748, "e_form_raw_ev_per_atom": 0.778, "mass_density_g_cm3": 10.0, "space_group": "No. 123", "cell": [[4.849, 0.000, 0.000], [0.000, 4.849, 0.000], [0.000, 0.000, 4.584]], "species": ["Hf", "Hf", "In", "Mo", "Br"], "frac_coords": [[0.000, 0.500, 0.000], [0.500, 0.000, 0.000], [0.000, 0.000, 0.500], [0.500, 0.500, 0.500], [0.500, 0.500, 0.000]]}


{"formula": "ScInHg", "functional": "PBEsol", "state": "optimized geometry", "formation_energy_ev_per_atom": -0.406, "total_energy_ev_per_atom": -3.791, "mass_density_g_cm3": 8.5, "space_group": "No. 216", "cell": [[0.000, 3.277, 3.277], [3.277, 0.000, 3.277], [3.277, 3.277, 0.000]], "species": ["Sc", "In", "Hg"], "frac_coords": [[0.000, 0.000, 0.000], [0.500, 0.500, 0.500], [0.750, 0.750, 0.750]]}


- What is the formula in the second record?
  ScInHg